# 1
{"formula": "Er2Nb2Si2C", "functional": "PBE", "state": "relaxed", "space_group": "I4/mmm", "e_form_raw_mev_per_atom": -593, "lattice": [[-2.1198, 2.1198, 7.3910], [2.1198, -2.1198, 7.3910], [2.1198, 2.1198, -7.3910]], "species": ["Er", "Er", "Nb", "Nb", "Si", "Si", "C"], "frac_coords": [[0.1675, 0.1675, 0.0000], [0.8325, 0.8325, 0.0000], [0.0000, 0.5000, 0.5000], [0.5000, 0.0000, 0.5000], [0.3728, 0.3728, 0.0000], [0.6272, 0.6272, 0.0000], [0.0000, 0.0000, 0.0000]]}



# 2
{"formula": "ErNb2TcC4", "functional": "PBE", "state": "relaxed", "space_group": "Cmcm", "ef_ev_per_fu": -1.73, "lattice": [[1.6184, -5.6413, 0.0000], [1.6184, 5.6413, 0.0000], [0.0000, 0.0000, 11.1971]], "species": ["Er", "Er", "Nb", "Nb", "Nb", "Nb", "Tc", "Tc", "C", "C", "C", "C", "C", "C", "C", "C"], "frac_coords": [[0.1153, 0.8847, 0.7500], [0.8847, 0.1153, 0.2500], [0.3695, 0.6305, 0.5347], [0.3695, 0.6305, 0.9653], [0.6305, 0.3695, 0.0347], [0.6305, 0.3695, 0.4653], [0.1496, 0.8504, 0.2500], [0.8504, 0.1496, 0.7500], [0.0000, 0.0000, 0.0000], [0.0000, 0.0000, 0.5000], [0.2626, 0.7374, 0.1165], [0.2626, 0.7374, 0.3835], [0.4502, 0.5498, 0.7500], [0.5498, 0.4502, 0.2500], [0.7374, 0.2626, 0.6165], [0.7374, 0.2626, 0.8835]]}



# 3
{"formula": "ErU2NbC4", "functional": "PBE", "state": "relaxed", "space_group": "Imma", "ef_ev_per_fu": -2.67, "lattice": [[-3.3743, 3.4542, 4.8586], [3.3743, -3.4542, 4.8586], [3.3743, 3.4542, -4.8586]], "species": ["Er", "Er", "U", "U", "U", "U", "Nb", "Nb", "C", "C", "C", "C", "C", "C", "C", "C"], "frac_coords": [[0.0000, 0.0000, 0.0000], [0.5000, 0.0000, 0.5000], [0.0000, 0.5000, 0.5000], [0.5000, 0.0000, 0.0000], [0.5000, 0.5000, 0.0000], [0.5000, 0.5000, 0.5000], [0.0000, 0.0000, 0.5000], [0.0000, 0.5000, 0.0000], [0.2356, 0.7462, 0.4894], [0.2433, 0.2538, 0.9894], [0.2437, 0.2602, 0.5165], [0.2437, 0.7272, 0.9835], [0.7563, 0.2728, 0.0165], [0.7563, 0.7398, 0.4835], [0.7567, 0.7462, 0.0106], [0.7644, 0.2538, 0.5106]]}



no.,M_tot (μB per atom)
1,0.000
2,0.000
3,0.005